1.
Here is In2Tc2Hg after structural relaxation from Alexandria via LeMat-Bulk. Energies are from PBE.

Values from the calculation:
Space-group type: No. 127
DFT formation energy, eV per atom: 0.299
Crystal system: tetragonal

Cell lengths 6.907, 6.907, 4.153 Å; angles 90.00, 90.00, 90.00 degrees
Positions (direct):
In  0.172  0.328  0.000
In  0.328  0.828  0.000
In  0.672  0.172  0.000
In  0.828  0.672  0.000
Tc  0.122  0.622  0.500
Tc  0.378  0.122  0.500
Tc  0.622  0.878  0.500
Tc  0.878  0.378  0.500
Hg  0.000  0.000  0.500
Hg  0.500  0.500  0.500

***

2.
Here is Ag5Pd2Au4 after structural relaxation from Alexandria via LeMat-Bulk. Energies are from PBE.

Values from the calculation:
Space-group type: No. 10
E above lowest polymorph, meV/atom: 0
DFT formation energy, eV per atom: -0.013
Crystal system: monoclinic

Cell lengths 7.349, 2.867, 9.364 Å; angles 90.00, 94.77, 90.00 degrees
Positions (direct):
Ag  0.000  0.000  0.000
Ag  0.056  0.000  0.307
Ag  0.315  0.000  0.842
Ag  0.685  0.000  0.158
Ag  0.944  0.000  0.693
Pd  0.432  0.000  0.363
Pd  0.568  0.000  0.637
Au  0.229  0.500  0.565
Au  0.320  0.500  0.113
Au  0.680  0.500  0.887
Au  0.771  0.500  0.435

***

3.
Here is CaDyTmMg after structural relaxation from Alexandria via LeMat-Bulk. Energies are from PBE.

Values from the calculation:
Space-group type: No. 216
DFT formation energy, eV per atom: 0.091
Crystal system: cubic

Cell lengths 5.573, 5.573, 5.573 Å; angles 60.00, 60.00, 60.00 degrees
Positions (direct):
Ca  0.000  0.000  0.000
Dy  0.500  0.500  0.500
Tm  0.250  0.250  0.250
Mg  0.750  0.750  0.750

***

4.
Here is CsTiHgBi2 after structural relaxation from Alexandria via LeMat-Bulk. Energies are from PBE.

Values from the calculation:
Space-group type: No. 123
DFT formation energy, eV per atom: -0.157
Crystal system: tetragonal

Cell lengths 5.485, 5.485, 5.801 Å; angles 90.00, 90.00, 90.00 degrees
Positions (direct):
Cs  0.000  0.000  0.000
Ti  0.500  0.500  0.500
Hg  0.500  0.500  0.000
Bi  0.000  0.500  0.500
Bi  0.500  0.000  0.500

***

5.
Here is PrNd2SmY2 after structural relaxation from Alexandria via LeMat-Bulk. Energies are from PBE.

Values from the calculation:
Space-group type: No. 58
DFT formation energy, eV per atom: 0.267
Crystal system: orthorhombic

Cell lengths 6.688, 18.301, 3.434 Å; angles 90.00, 90.00, 90.00 degrees
Positions (direct):
Pr  0.000  0.000  0.000
Pr  0.500  0.500  0.500
Nd  0.223  0.185  0.000
Nd  0.277  0.685  0.500
Nd  0.723  0.315  0.500
Nd  0.777  0.815  0.000
Sm  0.000  0.500  0.000
Sm  0.500  0.000  0.500
Y  0.219  0.351  0.500
Y  0.281  0.851  0.000
Y  0.719  0.149  0.000
Y  0.781  0.649  0.500

***

6.
Here is YGa2Tc after structural relaxation from Alexandria via LeMat-Bulk. Energies are from PBE.

Values from the calculation:
Space-group type: No. 166
E above lowest polymorph, meV/atom: 0
DFT formation energy, eV per atom: -0.309
Crystal system: trigonal

Cell lengths 5.599, 5.599, 5.599 Å; angles 44.52, 44.52, 44.52 degrees
Positions (direct):
Y  0.000  0.000  0.000
Ga  0.217  0.217  0.217
Ga  0.783  0.783  0.783
Tc  0.500  0.500  0.500

***

7.
Here is Sn12Hg3Pb5 after structural relaxation from Alexandria via LeMat-Bulk. Energies are from PBE.

Values from the calculation:
Space-group type: No. 230
DFT formation energy, eV per atom: 0.212
Crystal system: cubic

Cell lengths 15.348, 15.348, 15.348 Å; angles 109.47, 109.47, 109.47 degrees
Positions (direct):
Sn  0.063  0.637  0.395
Sn  0.063  0.925  0.668
Sn  0.075  0.243  0.137
Sn  0.075  0.332  0.937
Sn  0.105  0.743  0.668
Sn  0.105  0.863  0.437
Sn  0.137  0.075  0.243
Sn  0.137  0.563  0.895
Sn  0.168  0.243  0.605
Sn  0.168  0.425  0.563
Sn  0.243  0.137  0.075
Sn  0.243  0.605  0.168
Sn  0.257  0.332  0.895
Sn  0.257  0.425  0.363
Sn  0.332  0.895  0.257
Sn  0.332  0.937  0.075
Sn  0.363  0.257  0.425
Sn  0.363  0.605  0.937
Sn  0.395  0.063  0.637
Sn  0.395  0.832  0.757
Sn  0.425  0.363  0.257
Sn  0.425  0.563  0.168
Sn  0.437  0.105  0.863
Sn  0.437  0.832  0.575
Sn  0.563  0.168  0.425
Sn  0.563  0.895  0.137
Sn  0.575  0.437  0.832
Sn  0.575  0.637  0.743
Sn  0.605  0.168  0.243
Sn  0.605  0.937  0.363
Sn  0.637  0.395  0.063
Sn  0.637  0.743  0.575
Sn  0.668  0.063  0.925
Sn  0.668  0.105  0.743
Sn  0.743  0.575  0.637
Sn  0.743  0.668  0.105
Sn  0.757  0.395  0.832
Sn  0.757  0.863  0.925
Sn  0.832  0.575  0.437
Sn  0.832  0.757  0.395
Sn  0.863  0.437  0.105
Sn  0.863  0.925  0.757
Sn  0.895  0.137  0.563
Sn  0.895  0.257  0.332
Sn  0.925  0.668  0.063
Sn  0.925  0.757  0.863
Sn  0.937  0.075  0.332
Sn  0.937  0.363  0.605
Hg  0.125  0.250  0.375
Hg  0.125  0.375  0.750
Hg  0.250  0.375  0.125
Hg  0.250  0.875  0.625
Hg  0.375  0.125  0.250
Hg  0.375  0.750  0.125
Hg  0.625  0.250  0.875
Hg  0.625  0.875  0.750
Hg  0.750  0.125  0.375
Hg  0.750  0.625  0.875
Hg  0.875  0.625  0.250
Hg  0.875  0.750  0.625
Pb  0.000  0.000  0.000
Pb  0.000  0.000  0.500
Pb  0.000  0.500  0.000
Pb  0.000  0.500  0.500
Pb  0.125  0.750  0.875
Pb  0.125  0.875  0.250
Pb  0.250  0.125  0.875
Pb  0.250  0.625  0.375
Pb  0.375  0.250  0.625
Pb  0.375  0.625  0.750
Pb  0.500  0.000  0.000
Pb  0.500  0.000  0.500
Pb  0.500  0.500  0.000
Pb  0.500  0.500  0.500
Pb  0.625  0.375  0.250
Pb  0.625  0.750  0.375
Pb  0.750  0.375  0.625
Pb  0.750  0.875  0.125
Pb  0.875  0.125  0.750
Pb  0.875  0.250  0.125

***

8.
Here is DyZnGe2 after structural relaxation from Alexandria via LeMat-Bulk. Energies are from PBE.

Values from the calculation:
Space-group type: No. 139
DFT formation energy, eV per atom: -0.484
Crystal system: tetragonal

Cell lengths 9.820, 9.820, 9.820 Å; angles 156.05, 156.05, 34.13 degrees
Positions (direct):
Dy  0.116  0.116  0.000
Dy  0.884  0.884  0.000
Zn  0.250  0.750  0.500
Zn  0.750  0.250  0.500
Ge  0.000  0.500  0.500
Ge  0.342  0.342  0.000
Ge  0.500  0.000  0.500
Ge  0.658  0.658  0.000

***

9.
Here is Pr2Al4CuPt3 after structural relaxation from Alexandria via LeMat-Bulk. Energies are from PBE.

Values from the calculation:
Space-group type: No. 115
DFT formation energy, eV per atom: -0.951
Crystal system: tetragonal

Cell lengths 4.299, 4.299, 10.449 Å; angles 90.00, 90.00, 90.00 degrees
Positions (direct):
Pr  0.000  0.500  0.250
Pr  0.500  0.000  0.750
Al  0.000  0.000  0.000
Al  0.000  0.500  0.625
Al  0.500  0.000  0.375
Al  0.500  0.500  0.000
Cu  0.000  0.000  0.500
Pt  0.000  0.500  0.867
Pt  0.500  0.000  0.133
Pt  0.500  0.500  0.500

***

10.
Here is CuSiRu2 after structural relaxation from Alexandria via LeMat-Bulk. Energies are from PBE.

Values from the calculation:
Space-group type: No. 8
Uncorrected formation energy, eV per atom: -0.1108
Crystal system: monoclinic

Cell lengths 4.776, 4.776, 4.309 Å; angles 109.79, 109.79, 34.39 degrees
Positions (direct):
Cu  0.000  0.000  0.000
Si  0.262  0.262  0.650
Ru  0.517  0.517  0.516
Ru  0.755  0.755  0.140

***

11.
Here is PmSm6In6 after structural relaxation from Alexandria via LeMat-Bulk. Energies are from PBE.

Values from the calculation:
Space-group type: No. 191
DFT formation energy, eV per atom: -0.341
Crystal system: hexagonal

Cell lengths 6.344, 6.344, 11.006 Å; angles 90.00, 90.00, 120.00 degrees
Positions (direct):
Pm  0.000  0.000  0.000
Sm  0.000  0.000  0.336
Sm  0.000  0.000  0.664
Sm  0.333  0.667  0.000
Sm  0.333  0.667  0.500
Sm  0.667  0.333  0.000
Sm  0.667  0.333  0.500
In  0.000  0.500  0.246
In  0.000  0.500  0.754
In  0.500  0.000  0.246
In  0.500  0.000  0.754
In  0.500  0.500  0.246
In  0.500  0.500  0.754

***

12.
Here is TaInTe2 after structural relaxation from Alexandria via LeMat-Bulk. Energies are from PBE.

Values from the calculation:
Space-group type: No. 65
Uncorrected formation energy, eV per atom: 0.1713
Crystal system: orthorhombic

Cell lengths 3.277, 3.277, 10.742 Å; angles 90.00, 90.00, 112.27 degrees
Positions (direct):
Ta  0.000  0.000  0.000
In  0.000  0.000  0.500
Te  0.500  0.500  0.201
Te  0.500  0.500  0.799

***

13.
Here is UPaNi after structural relaxation from Alexandria via LeMat-Bulk. Energies are from PBE.

Values from the calculation:
Space-group type: No. 107
E above lowest polymorph, meV/atom: 251
DFT formation energy, eV per atom: 0.081
Crystal system: tetragonal

Cell lengths 5.106, 5.106, 5.106 Å; angles 138.94, 138.94, 59.47 degrees
Positions (direct):
U  0.000  0.000  0.000
Pa  0.654  0.654  0.000
Ni  0.326  0.326  0.000

***

14.
Here is YAsP2 after structural relaxation from Alexandria via LeMat-Bulk. Energies are from PBE.

Values from the calculation:
Space-group type: No. 123
DFT formation energy, eV per atom: -0.377
Crystal system: tetragonal

Cell lengths 3.762, 3.762, 5.413 Å; angles 90.00, 90.00, 90.00 degrees
Positions (direct):
Y  0.000  0.000  0.000
As  0.000  0.000  0.500
P  0.500  0.500  0.288
P  0.500  0.500  0.712

***

15.
Here is AlBI2O after structural relaxation from Alexandria via LeMat-Bulk. Energies are from PBE.

Values from the calculation:
Space-group type: No. 123
E above lowest polymorph, meV/atom: 0
Uncorrected formation energy, eV per atom: 0.0479
Crystal system: tetragonal

Cell lengths 5.726, 5.726, 3.473 Å; angles 90.00, 90.00, 90.00 degrees
Positions (direct):
Al  0.000  0.000  0.000
B  0.500  0.500  0.500
I  0.000  0.500  0.000
I  0.500  0.000  0.000
O  0.000  0.000  0.500

***

16.
Here is Dy3Ho6In after structural relaxation from Alexandria via LeMat-Bulk. Energies are from PBE.

Values from the calculation:
Space-group type: No. 11
E above lowest polymorph, meV/atom: 0
DFT formation energy, eV per atom: -0.072
Crystal system: monoclinic

Cell lengths 9.585, 5.530, 12.340 Å; angles 90.00, 110.83, 90.00 degrees
Positions (direct):
Dy  0.025  0.250  0.370
Dy  0.100  0.750  0.221
Dy  0.272  0.250  0.973
Dy  0.728  0.750  0.027
Dy  0.900  0.250  0.779
Dy  0.975  0.750  0.630
Ho  0.039  0.750  0.931
Ho  0.192  0.250  0.669
Ho  0.259  0.750  0.512
Ho  0.346  0.250  0.297
Ho  0.348  0.750  0.826
Ho  0.426  0.750  0.139
Ho  0.574  0.250  0.861
Ho  0.652  0.250  0.174
Ho  0.654  0.750  0.703
Ho  0.741  0.250  0.488
Ho  0.808  0.750  0.331
Ho  0.961  0.250  0.069
In  0.468  0.250  0.583
In  0.532  0.750  0.417

***

17.
Here is Pr2GaN after structural relaxation from Alexandria via LeMat-Bulk. Energies are from PBE.

Values from the calculation:
Space-group type: No. 123
Uncorrected formation energy, eV per atom: -0.4353
Crystal system: tetragonal

Cell lengths 3.219, 3.219, 7.904 Å; angles 90.00, 90.00, 90.00 degrees
Positions (direct):
Pr  0.000  0.000  0.192
Pr  0.000  0.000  0.808
Ga  0.500  0.500  0.500
N  0.500  0.500  0.000

***

18.
Here is Ce2Ga3Ni5 after structural relaxation from Alexandria via LeMat-Bulk. Energies are from PBE.

Values from the calculation:
Space-group type: No. 36
E above lowest polymorph, meV/atom: 7
DFT formation energy, eV per atom: -0.458
Crystal system: orthorhombic

Cell lengths 11.341, 11.341, 6.972 Å; angles 90.00, 90.00, 158.92 degrees
Positions (direct):
Ce  0.022  0.978  0.500
Ce  0.338  0.662  0.038
Ce  0.662  0.338  0.538
Ce  0.978  0.022  0.000
Ga  0.109  0.891  0.843
Ga  0.266  0.734  0.658
Ga  0.435  0.565  0.697
Ga  0.565  0.435  0.197
Ga  0.734  0.266  0.158
Ga  0.891  0.109  0.343
Ni  0.126  0.874  0.215
Ni  0.212  0.788  0.964
Ni  0.235  0.765  0.332
Ni  0.354  0.646  0.469
Ni  0.455  0.545  0.299
Ni  0.545  0.455  0.799
Ni  0.646  0.354  0.969
Ni  0.765  0.235  0.832
Ni  0.788  0.212  0.464
Ni  0.874  0.126  0.715

***

19.
Here is Ta2NiPd6 after structural relaxation from Alexandria via LeMat-Bulk. Energies are from PBE.

Values from the calculation:
Space-group type: No. 69
E above lowest polymorph, meV/atom: 61
DFT formation energy, eV per atom: -0.346
Crystal system: orthorhombic

Cell lengths 8.374, 6.356, 6.138 Å; angles 84.15, 49.03, 46.82 degrees
Positions (direct):
Ta  0.149  0.149  0.851
Ta  0.851  0.851  0.149
Ni  0.500  0.500  0.500
Pd  0.165  0.835  0.165
Pd  0.176  0.486  0.514
Pd  0.486  0.176  0.824
Pd  0.514  0.824  0.176
Pd  0.824  0.514  0.486
Pd  0.835  0.165  0.835

***

20.
Here is NbCu3B after structural relaxation from Alexandria via LeMat-Bulk. Energies are from PBE.

Values from the calculation:
Space-group type: No. 221
E above lowest polymorph, meV/atom: 0
DFT formation energy, eV per atom: 0.325
Crystal system: cubic

Cell lengths 3.970, 3.970, 3.970 Å; angles 90.00, 90.00, 90.00 degrees
Positions (direct):
Nb  0.000  0.000  0.000
Cu  0.000  0.500  0.500
Cu  0.500  0.000  0.500
Cu  0.500  0.500  0.000
B  0.500  0.500  0.500

***

Number 1: N(E_F) 0.412 states/eV per atom. Number 2: N(E_F) 0.388 states/eV per atom. Number 3: N(E_F) 0.596 states/eV per atom. Number 4: N(E_F) 0.678 states/eV per atom. Number 5: N(E_F) 1.848 states/eV per atom. Number 6: N(E_F) 1.215 states/eV per atom. Number 7: N(E_F) 0.587 states/eV per atom. Number 8: N(E_F) 0.311 states/eV per atom. Number 9: N(E_F) 0.875 states/eV per atom. Number 10: N(E_F) 0.955 states/eV per atom. Number 11: N(E_F) 1.268 states/eV per atom. Number 12: N(E_F) 0.724 states/eV per atom. Number 13: N(E_F) 2.553 states/eV per atom. Number 14: N(E_F) 0.330 states/eV per atom. Number 15: N(E_F) 0.316 states/eV per atom. Number 16: N(E_F) 1.465 states/eV per atom. Number 17: N(E_F) 0.550 states/eV per atom. Number 18: N(E_F) 1.177 states/eV per atom. Number 19: N(E_F) 0.798 states/eV per atom. Number 20: N(E_F) 0.534 states/eV per atom.